# 1
This record from Alexandria via LeMat-Bulk describes a relaxed structure of Ti3Al5. The functional is PBEsol.

Results
VASP energy = -6.0887 eV/atom
Crystal system = orthorhombic
M_tot = 0.00 μB per cell
Formation energy = -0.41 eV/atom

The structure in POSCAR format:
```
Ti3Al5
1.0
-1.042 -3.697 -0.567
1.623 -0.996 3.511
-7.036 1.422 3.656
Al Ti
5 3
Cartesian
0.000 0.000 0.000
-3.518 0.711 1.828
-3.227 -1.635 3.300
-2.221 -1.505 0.600
-5.857 -0.770 2.489
-1.051 -0.122 2.723
-4.362 0.548 4.444
0.291 -2.346 1.472
```

---

# 2
This record from Alexandria via LeMat-Bulk describes a relaxed structure of TiAl2. The functional is PBEsol.

Results
VASP energy = -5.9309 eV/atom
Crystal system = orthorhombic
M_tot = 0.00 μB per cell
Formation energy = -0.43 eV/atom

The structure in POSCAR format:
```
TiAl2
1.0
-2.567 2.394 1.695
-2.326 -3.098 0.853
4.126 -1.880 4.423
Al Ti
4 2
Cartesian
0.000 0.000 0.000
-2.447 -0.352 1.274
-0.586 -0.799 4.724
-0.182 -1.785 2.247
-0.394 0.984 2.496
1.953 -0.469 3.621
```

---

# 3
This record from Alexandria via LeMat-Bulk describes a relaxed structure of TiAl2. The functional is PBEsol.

Results
VASP energy = -5.9347 eV/atom
Crystal system = tetragonal
M_tot = 0.00 μB per cell
Formation energy = -0.43 eV/atom

The structure in POSCAR format:
```
TiAl2
1.0
3.932 0.000 0.000
0.000 3.932 0.000
-1.966 -1.966 12.054
Al Ti
8 4
Cartesian
1.966 1.966 2.085
1.966 1.966 6.024
0.000 0.000 6.030
1.966 0.000 3.942
1.966 0.000 8.112
1.966 0.000 0.003
1.966 0.000 12.051
0.000 0.000 9.969
0.000 1.966 7.907
0.000 0.000 1.880
0.000 1.966 4.147
1.966 1.966 10.174
```

---

# 4
This record from Alexandria via LeMat-Bulk describes a relaxed structure of Ti3Al5. The functional is PBEsol.

Results
VASP energy = -6.0769 eV/atom
Crystal system = tetragonal
M_tot = 0.00 μB per cell
Formation energy = -0.40 eV/atom

The structure in POSCAR format:
```
Ti3Al5
1.0
3.882 0.000 0.000
0.000 3.882 0.000
0.000 0.000 8.285
Al Ti
5 3
Cartesian
0.000 1.941 2.089
0.000 1.941 6.196
1.941 0.000 2.089
1.941 0.000 6.196
0.000 0.000 0.000
0.000 0.000 4.143
1.941 1.941 0.000
1.941 1.941 4.143
```